Density functional theory data (PBE) for TbPr2NdSm after structural relaxation.

- VASP energy: -4.4823 eV/atom
- E_form: 0.253 eV per atom
- Space group: No. 13
- M_tot: 0.0 μB/cell

Unit cell a=6.823 b=8.287 c=6.300 alpha=90.16 beta=90.00 gamma=90.00
Element x y z (fractional)
Tb (0.158, 0.500, 0.750)
Tb (0.842, 0.500, 0.250)
Pr (0.694, 0.695, 0.751)
Pr (0.694, 0.305, 0.749)
Pr (0.306, 0.695, 0.251)
Pr (0.306, 0.305, 0.249)
Nd (0.000, 0.000, 0.000)
Nd (0.000, 0.000, 0.500)
Sm (0.578, 0.000, 0.250)
Sm (0.422, 0.000, 0.750)



Density functional theory data (PBE) for Tb6PrNd2Sm3 after structural relaxation.

- VASP energy: -4.6754 eV/atom
- E_form: 0.012 eV per atom
- Space group: No. 12
- M_tot: 0.0 μB/cell

Unit cell a=6.263 b=6.263 c=11.913 alpha=95.02 beta=95.02 gamma=119.99
Element x y z (fractional)
Tb (0.916, 0.583, 0.748)
Tb (0.750, 0.750, 0.252)
Tb (0.084, 0.417, 0.252)
Tb (0.583, 0.916, 0.748)
Tb (0.250, 0.250, 0.748)
Tb (0.417, 0.084, 0.252)
Pr (0.000, 0.000, 0.000)
Nd (0.333, 0.667, 0.000)
Nd (0.667, 0.333, 0.000)
Sm (0.167, 0.833, 0.500)
Sm (0.833, 0.167, 0.500)
Sm (0.500, 0.500, 0.500)



Density functional theory data (PBE) for Tb2Pr4Nd2Sm after structural relaxation.

- VASP energy: -4.7268 eV/atom
- E_form: 0.010 eV per atom
- Space group: No. 12
- M_tot: 0.0 μB/cell

Unit cell a=3.699 b=9.757 c=9.837 alpha=115.18 beta=90.00 gamma=100.92
Element x y z (fractional)
Tb (0.852, 0.703, 0.331)
Tb (0.148, 0.297, 0.669)
Pr (0.814, 0.628, 0.668)
Pr (0.186, 0.372, 0.332)
Pr (0.518, 0.036, 0.334)
Pr (0.482, 0.964, 0.666)
Nd (0.333, 0.667, 0.002)
Nd (0.667, 0.333, 0.998)
Sm (0.000, 0.000, 0.000)



Density functional theory data (PBE) for Tb2PrNdSm4 after structural relaxation.

- VASP energy: -4.6942 eV/atom
- E_form: 0.016 eV per atom
- Space group: No. 10
- M_tot: 0.0 μB/cell

Unit cell a=3.633 b=6.271 c=12.066 alpha=79.88 beta=90.00 gamma=90.00
Element x y z (fractional)
Tb (0.000, 0.000, 0.000)
Tb (0.500, 0.000, 0.500)
Pr (0.500, 0.500, 0.000)
Nd (0.000, 0.500, 0.500)
Sm (0.000, 0.751, 0.749)
Sm (0.000, 0.249, 0.251)
Sm (0.500, 0.751, 0.250)
Sm (0.500, 0.249, 0.750)



Density functional theory data (PBE) for Tb2PrNd4Sm after structural relaxation.

- VASP energy: -4.7136 eV/atom
- E_form: 0.015 eV per atom
- Space group: No. 10
- M_tot: 0.0 μB/cell

Unit cell a=3.657 b=6.310 c=12.102 alpha=79.79 beta=90.00 gamma=90.00
Element x y z (fractional)
Tb (0.000, 0.000, 0.000)
Tb (0.500, 0.000, 0.500)
Pr (0.500, 0.500, 0.000)
Nd (0.000, 0.751, 0.748)
Nd (0.000, 0.249, 0.252)
Nd (0.500, 0.751, 0.250)
Nd (0.500, 0.249, 0.750)
Sm (0.000, 0.500, 0.500)



Density functional theory data (PBE) for Tb2Pr6NdSm after structural relaxation.

- VASP energy: -4.6310 eV/atom
- E_form: 0.111 eV per atom
- Space group: No. 15
- M_tot: 0.0 μB/cell

Unit cell a=9.887 b=9.026 c=9.026 alpha=117.57 beta=94.32 gamma=94.32
Element x y z (fractional)
Tb (0.454, 0.804, 0.709)
Tb (0.046, 0.291, 0.196)
Tb (0.546, 0.196, 0.291)
Tb (0.954, 0.709, 0.804)
Pr (0.055, 0.111, 0.756)
Pr (0.445, 0.244, 0.889)
Pr (0.945, 0.889, 0.244)
Pr (0.555, 0.756, 0.111)
Pr (0.315, 0.985, 0.433)
Pr (0.185, 0.567, 0.015)
Pr (0.685, 0.015, 0.567)
Pr (0.815, 0.433, 0.985)
Pr (0.120, 0.704, 0.492)
Pr (0.380, 0.508, 0.296)
Pr (0.880, 0.296, 0.508)
Pr (0.620, 0.492, 0.704)
Nd (0.250, 0.407, 0.593)
Nd (0.750, 0.593, 0.407)
Sm (0.250, 0.973, 0.027)
Sm (0.750, 0.027, 0.973)



Density functional theory data (PBE) for Tb6PrNd2Sm after structural relaxation.

- VASP energy: -4.5610 eV/atom
- E_form: 0.121 eV per atom
- Space group: No. 15
- M_tot: 0.0 μB/cell

Unit cell a=9.890 b=8.834 c=8.834 alpha=118.03 beta=94.90 gamma=94.90
Element x y z (fractional)
Tb (0.057, 0.121, 0.741)
Tb (0.443, 0.259, 0.879)
Tb (0.943, 0.879, 0.259)
Tb (0.557, 0.741, 0.121)
Tb (0.316, 0.972, 0.422)
Tb (0.184, 0.578, 0.028)
Tb (0.684, 0.028, 0.578)
Tb (0.816, 0.422, 0.972)
Tb (0.121, 0.704, 0.496)
Tb (0.379, 0.504, 0.296)
Tb (0.879, 0.296, 0.504)
Tb (0.621, 0.496, 0.704)
Pr (0.250, 0.404, 0.596)
Pr (0.750, 0.596, 0.404)
Nd (0.459, 0.811, 0.711)
Nd (0.041, 0.289, 0.189)
Nd (0.541, 0.189, 0.289)
Nd (0.959, 0.711, 0.811)
Sm (0.250, 0.983, 0.017)
Sm (0.750, 0.017, 0.983)



Density functional theory data (PBE) for Tb2PrNd3Sm6 after structural relaxation.

- VASP energy: -4.7075 eV/atom
- E_form: 0.014 eV per atom
- Space group: No. 12
- M_tot: 0.0 μB/cell

Unit cell a=6.301 b=6.301 c=12.072 alpha=95.00 beta=95.00 gamma=119.98
Element x y z (fractional)
Tb (0.333, 0.667, 0.000)
Tb (0.667, 0.333, 0.000)
Pr (0.000, 0.000, 0.000)
Nd (0.167, 0.833, 0.500)
Nd (0.833, 0.167, 0.500)
Nd (0.500, 0.500, 0.500)
Sm (0.917, 0.583, 0.752)
Sm (0.749, 0.749, 0.248)
Sm (0.083, 0.417, 0.248)
Sm (0.583, 0.917, 0.752)
Sm (0.251, 0.251, 0.752)
Sm (0.417, 0.083, 0.248)



Density functional theory data (PBE) for TbPrNd2Sm4 after structural relaxation.

- VASP energy: -4.3447 eV/atom
- E_form: 0.383 eV per atom
- Space group: No. 15
- M_tot: 0.0 μB/cell

Unit cell a=9.630 b=9.630 c=11.966 alpha=128.31 beta=128.31 gamma=88.38
Element x y z (fractional)
Tb (0.500, 0.500, 0.500)
Tb (0.000, 0.000, 0.000)
Pr (0.000, 0.500, 0.000)
Pr (0.000, 0.500, 0.500)
Nd (0.500, 0.000, 0.000)
Nd (0.500, 0.000, 0.500)
Nd (0.000, 0.000, 0.500)
Nd (0.500, 0.500, 0.000)
Sm (0.246, 0.755, 0.001)
Sm (0.745, 0.254, 0.499)
Sm (0.255, 0.746, 0.501)
Sm (0.754, 0.245, 0.999)
Sm (0.719, 0.720, 0.966)
Sm (0.780, 0.781, 0.534)
Sm (0.220, 0.219, 0.466)
Sm (0.281, 0.280, 0.034)



Density functional theory data (PBE) for Tb2Pr2NdSm after structural relaxation.

- VASP energy: -4.6576 eV/atom
- E_form: 0.060 eV per atom
- Space group: No. 51
- M_tot: 0.0 μB/cell

Unit cell a=5.776 b=7.091 c=9.982 alpha=90.00 beta=90.00 gamma=90.00
Element x y z (fractional)
Tb (0.000, 0.257, 0.834)
Tb (0.500, 0.258, 0.333)
Tb (0.000, 0.757, 0.166)
Tb (0.500, 0.758, 0.667)
Pr (0.500, 0.007, 0.000)
Pr (0.000, 0.257, 0.169)
Pr (0.500, 0.507, 0.000)
Pr (0.000, 0.757, 0.831)
Nd (0.000, 0.008, 0.500)
Nd (0.000, 0.508, 0.500)
Sm (0.500, 0.258, 0.665)
Sm (0.500, 0.758, 0.335)



Density functional theory data (PBE) for TbPr2Nd4Sm after structural relaxation.

- VASP energy: -4.7352 eV/atom
- E_form: 0.012 eV per atom
- Space group: No. 10
- M_tot: 0.0 μB/cell

Unit cell a=5.189 b=5.184 c=11.611 alpha=63.33 beta=90.00 gamma=90.00
Element x y z (fractional)
Tb (0.500, 0.500, 0.000)
Pr (0.000, 0.000, 0.000)
Pr (0.500, 0.000, 0.500)
Nd (0.000, 0.750, 0.751)
Nd (0.000, 0.250, 0.249)
Nd (0.500, 0.751, 0.248)
Nd (0.500, 0.249, 0.752)
Sm (0.000, 0.500, 0.500)



Density functional theory data (PBE) for TbPr2Nd4Sm2 after structural relaxation.

- VASP energy: -4.7341 eV/atom
- E_form: 0.010 eV per atom
- Space group: No. 12
- M_tot: 0.0 μB/cell

Unit cell a=3.696 b=9.756 c=9.835 alpha=115.09 beta=90.00 gamma=100.92
Element x y z (fractional)
Tb (0.000, 0.000, 0.000)
Pr (0.335, 0.669, 0.001)
Pr (0.665, 0.331, 0.999)
Nd (0.815, 0.630, 0.667)
Nd (0.185, 0.370, 0.333)
Nd (0.518, 0.036, 0.332)
Nd (0.482, 0.964, 0.668)
Sm (0.852, 0.704, 0.333)
Sm (0.148, 0.296, 0.667)



Density functional theory data (PBE) for TbPr2NdSm5 after structural relaxation.

- VASP energy: -4.4666 eV/atom
- E_form: 0.261 eV per atom
- Space group: No. 140
- M_tot: 0.0 μB/cell

Unit cell a=8.815 b=8.815 c=10.152 alpha=115.73 beta=115.73 gamma=90.00
Element x y z (fractional)
Tb (0.250, 0.750, 0.500)
Tb (0.750, 0.250, 0.500)
Pr (0.119, 0.381, 0.000)
Pr (0.619, 0.119, 0.000)
Pr (0.381, 0.881, 0.000)
Pr (0.881, 0.619, 0.000)
Nd (0.250, 0.250, 0.500)
Nd (0.750, 0.750, 0.500)
Sm (0.929, 0.429, 0.279)
Sm (0.650, 0.150, 0.721)
Sm (0.071, 0.571, 0.721)
Sm (0.150, 0.071, 0.721)
Sm (0.571, 0.650, 0.721)
Sm (0.850, 0.929, 0.279)
Sm (0.429, 0.350, 0.279)
Sm (0.350, 0.850, 0.279)
Sm (0.500, 0.500, 0.000)
Sm (0.000, 0.000, 0.000)



Density functional theory data (PBE) for TbPr6NdSm2 after structural relaxation.

- VASP energy: -4.6393 eV/atom
- E_form: 0.112 eV per atom
- Space group: No. 15
- M_tot: 0.0 μB/cell

Unit cell a=9.971 b=9.035 c=9.035 alpha=118.00 beta=94.64 gamma=94.64
Element x y z (fractional)
Tb (0.250, 0.977, 0.023)
Tb (0.750, 0.023, 0.977)
Pr (0.055, 0.115, 0.754)
Pr (0.445, 0.246, 0.885)
Pr (0.945, 0.885, 0.246)
Pr (0.555, 0.754, 0.115)
Pr (0.314, 0.982, 0.428)
Pr (0.186, 0.572, 0.018)
Pr (0.686, 0.018, 0.572)
Pr (0.814, 0.428, 0.982)
Pr (0.121, 0.705, 0.498)
Pr (0.379, 0.502, 0.295)
Pr (0.879, 0.295, 0.502)
Pr (0.621, 0.498, 0.705)
Nd (0.250, 0.406, 0.594)
Nd (0.750, 0.594, 0.406)
Sm (0.456, 0.808, 0.711)
Sm (0.044, 0.289, 0.192)
Sm (0.544, 0.192, 0.289)
Sm (0.956, 0.711, 0.808)



Density functional theory data (PBE) for TbPrNdSm3 after structural relaxation.

- VASP energy: -4.5536 eV/atom
- E_form: 0.169 eV per atom
- Space group: No. 12
- M_tot: 0.0 μB/cell

Unit cell a=5.786 b=10.617 c=6.980 alpha=90.28 beta=90.00 gamma=105.81
Element x y z (fractional)
Tb (0.648, 0.295, 0.467)
Tb (0.352, 0.705, 0.533)
Pr (0.354, 0.708, 0.975)
Pr (0.646, 0.292, 0.025)
Nd (0.056, 0.112, 0.259)
Nd (0.944, 0.888, 0.741)
Sm (0.836, 0.672, 0.262)
Sm (0.780, 0.561, 0.752)
Sm (0.480, 0.961, 0.255)
Sm (0.220, 0.439, 0.248)
Sm (0.520, 0.039, 0.745)
Sm (0.164, 0.328, 0.738)



Density functional theory data (PBE) for Tb6Pr2NdSm after structural relaxation.

- VASP energy: -4.5627 eV/atom
- E_form: 0.120 eV per atom
- Space group: No. 15
- M_tot: 0.0 μB/cell

Unit cell a=9.908 b=8.838 c=8.838 alpha=118.01 beta=94.94 gamma=94.94
Element x y z (fractional)
Tb (0.057, 0.121, 0.740)
Tb (0.443, 0.260, 0.879)
Tb (0.943, 0.879, 0.260)
Tb (0.557, 0.740, 0.121)
Tb (0.314, 0.974, 0.422)
Tb (0.186, 0.578, 0.026)
Tb (0.686, 0.026, 0.578)
Tb (0.814, 0.422, 0.974)
Tb (0.121, 0.704, 0.495)
Tb (0.379, 0.505, 0.296)
Tb (0.879, 0.296, 0.505)
Tb (0.621, 0.495, 0.704)
Pr (0.459, 0.812, 0.710)
Pr (0.041, 0.290, 0.188)
Pr (0.541, 0.188, 0.290)
Pr (0.959, 0.710, 0.812)
Nd (0.250, 0.405, 0.595)
Nd (0.750, 0.595, 0.405)
Sm (0.250, 0.984, 0.016)
Sm (0.750, 0.016, 0.984)



Density functional theory data (PBE) for Tb4PrNd2Sm2 after structural relaxation.

- VASP energy: -4.6963 eV/atom
- E_form: 0.001 eV per atom
- Space group: No. 12
- M_tot: 0.0 μB/cell

Unit cell a=3.652 b=9.651 c=9.702 alpha=115.23 beta=90.00 gamma=100.91
Element x y z (fractional)
Tb (0.815, 0.629, 0.664)
Tb (0.185, 0.371, 0.336)
Tb (0.519, 0.039, 0.335)
Tb (0.481, 0.961, 0.665)
Pr (0.000, 0.000, 0.000)
Nd (0.333, 0.666, 0.999)
Nd (0.667, 0.334, 0.001)
Sm (0.852, 0.705, 0.336)
Sm (0.148, 0.295, 0.664)



Density functional theory data (PBE) for Tb6Pr3NdSm2 after structural relaxation.

- VASP energy: -4.6817 eV/atom
- E_form: 0.012 eV per atom
- Space group: No. 12
- M_tot: 0.0 μB/cell

Unit cell a=6.285 b=6.285 c=11.924 alpha=95.02 beta=95.02 gamma=120.00
Element x y z (fractional)
Tb (0.917, 0.584, 0.752)
Tb (0.749, 0.749, 0.248)
Tb (0.083, 0.416, 0.248)
Tb (0.584, 0.917, 0.752)
Tb (0.251, 0.251, 0.752)
Tb (0.416, 0.083, 0.248)
Pr (0.167, 0.833, 0.500)
Pr (0.833, 0.167, 0.500)
Pr (0.500, 0.500, 0.500)
Nd (0.000, 0.000, 0.000)
Sm (0.333, 0.667, 0.000)
Sm (0.667, 0.333, 0.000)



Density functional theory data (PBE) for Tb2Pr6NdSm3 after structural relaxation.

- VASP energy: -4.7267 eV/atom
- E_form: 0.012 eV per atom
- Space group: No. 12
- M_tot: 0.0 μB/cell

Unit cell a=6.363 b=6.363 c=12.091 alpha=95.03 beta=95.03 gamma=120.02
Element x y z (fractional)
Tb (0.333, 0.667, 0.000)
Tb (0.667, 0.333, 0.000)
Pr (0.916, 0.582, 0.751)
Pr (0.750, 0.750, 0.249)
Pr (0.084, 0.418, 0.249)
Pr (0.582, 0.916, 0.751)
Pr (0.250, 0.250, 0.751)
Pr (0.418, 0.084, 0.249)
Nd (0.000, 0.000, 0.000)
Sm (0.167, 0.833, 0.500)
Sm (0.833, 0.167, 0.500)
Sm (0.500, 0.500, 0.500)



Density functional theory data (PBE) for TbPr2NdSm4 after structural relaxation.

- VASP energy: -4.7157 eV/atom
- E_form: 0.014 eV per atom
- Space group: No. 10
- M_tot: 0.0 μB/cell

Unit cell a=5.161 b=5.156 c=11.543 alpha=63.35 beta=90.00 gamma=90.00
Element x y z (fractional)
Tb (0.000, 0.500, 0.500)
Pr (0.000, 0.000, 0.000)
Pr (0.500, 0.000, 0.500)
Nd (0.500, 0.500, 0.000)
Sm (0.000, 0.752, 0.748)
Sm (0.000, 0.248, 0.252)
Sm (0.500, 0.748, 0.252)
Sm (0.500, 0.252, 0.748)